The following is a DFT calculation (PBE) of an optimized crystal structure of LiCdCu2.

Properties
- energy of formation (eV/f.u.) = -0.15
- space-group type = No. 123

abc: 3.776 3.770 4.076
angles: 90.00 90.00 90.00
Fractional positions:
Li 0.500 0.000 0.500
Cu 0.000 0.000 0.000
Cd 0.000 0.500 0.500
Cu 0.500 0.500 0.000


The following is a DFT calculation (PBE) of an optimized crystal structure of LiCd2Cu.

Properties
- energy of formation (eV/f.u.) = -0.46
- space-group type = No. 47

abc: 3.250 3.308 7.171
angles: 62.53 90.00 90.00
Fractional positions:
Cu 0.500 0.250 0.250
Li 0.500 0.750 0.750
Cd 0.000 0.993 0.007
Cd 0.000 0.507 0.493


The following is a DFT calculation (PBE) of an optimized crystal structure of Li5Cd6Cu.

Properties
- energy of formation (eV/f.u.) = -2.56
- space-group type = No. 12

abc: 4.599 6.772 7.972
angles: 115.13 105.97 90.00
Fractional positions:
Cu 0.000 0.000 0.000
Cd 0.500 0.242 0.000
Cd 0.836 0.590 0.671
Cd 0.500 0.758 0.000
Li 0.335 0.334 0.669
Li 0.665 0.666 0.331
Cd 0.164 0.410 0.329
Cd 0.836 0.081 0.671
Li 0.329 0.830 0.660
Cd 0.164 0.919 0.329
Li 0.671 0.170 0.340
Li 0.000 0.500 0.000


The following is a DFT calculation (PBE) of an optimized crystal structure of LiCd8Cu4.

Properties
- energy of formation (eV/f.u.) = -0.30
- space-group type = No. 139

abc: 5.417 7.249 7.249
angles: 81.97 68.06 68.06
Fractional positions:
Cd 0.000 0.329 0.671
Cd 0.500 0.784 0.216
Cu 0.000 0.000 0.500
Cu 0.500 0.000 0.500
Li 0.000 0.000 0.000
Cd 0.671 0.329 0.329
Cd 0.329 0.671 0.671
Cd 0.000 0.671 0.329
Cd 0.716 0.784 0.784
Cd 0.500 0.216 0.784
Cu 0.000 0.500 0.000
Cu 0.500 0.500 0.000
Cd 0.284 0.216 0.216


The following is a DFT calculation (PBE) of an optimized crystal structure of LiCd2Cu.

Properties
- energy of formation (eV/f.u.) = -0.23
- space-group type = No. 216

abc: 4.627 4.627 4.627
angles: 60.00 60.00 60.00
Fractional positions:
Cd 0.250 0.250 0.250
Cu 0.500 0.500 0.500
Cd 0.000 0.000 0.000
Li 0.750 0.750 0.750


The following is a DFT calculation (PBE) of an optimized crystal structure of LiCd2Cu.

Properties
- energy of formation (eV/f.u.) = -0.58
- space-group type = No. 225

abc: 4.575 4.575 4.575
angles: 60.00 60.00 60.00
Fractional positions:
Cd 0.500 0.500 0.500
Cd 0.000 0.000 0.000
Li 0.250 0.250 0.250
Cu 0.750 0.750 0.750